Density functional theory data (PBE) for an optimized crystal structure of MgZn2Cu.

The structure in CIF format:
```
data_MgZn2Cu
_chemical_formula_sum 'Mg1 Zn2 Cu1'
_symmetry_space_group_name_H-M 'P m m 2'
_symmetry_Int_Tables_number 25
_symmetry_space_group_name_Hall 'P 2 -2'
_cell_length_a 3.0023
_cell_length_b 3.3481
_cell_length_c 6.0748
_cell_angle_alpha 90.00
_cell_angle_beta 90.00
_cell_angle_gamma 90.00
loop_
_atom_site_label
_atom_site_fract_x
_atom_site_fract_y
_atom_site_fract_z
_atom_site_occupancy
Mg1 0.0000 0.0000 0.0000 1
Zn1 0.0000 0.0000 0.5299 1
Zn2 0.5000 0.5000 0.2853 1
Cu1 0.5000 0.5000 0.7404 1
```

Calculated values
The value obtained for the calculated volume is 15.27 A^3/atom. Its total energy is -0.1566 Ry per atom.